Entry 1:
First-principles (PBE) data for a relaxed LiNiWAu crystal, as listed in OQMD.

## Properties
Total magnetic moment in μB/cell: 0.0
Space-group type: F-43m, No. 216
Mass density in g/cm³: 12.913
E above lowest polymorph in meV per atom: 54
Total energy in eV per atom: -5.655

Cell lengths 4.330, 4.330, 4.330 Å; angles 60.00, 60.00, 60.00 degrees
Positions (direct):
Li 0.000 0.000 0.000
Ni 0.250 0.250 0.250
W 0.500 0.500 0.500
Au 0.750 0.750 0.750



Entry 2:
First-principles (PBE) data for a relaxed LiNiWAu crystal, as listed in OQMD.

## Properties
Total magnetic moment in μB/cell: 0.0
Space-group type: F-43m, No. 216
Mass density in g/cm³: 13.875
E above lowest polymorph in meV per atom: 0
Total energy in eV per atom: -5.709

Cell lengths 4.228, 4.228, 4.228 Å; angles 60.00, 60.00, 60.00 degrees
Positions (direct):
Li 0.000 0.000 0.000
Ni 0.500 0.500 0.500
W 0.750 0.750 0.750
Au 0.250 0.250 0.250



Entry 3:
First-principles (PBE) data for a relaxed LiNiWAu crystal, as listed in OQMD.

## Properties
Total magnetic moment in μB/cell: 0.0
Space-group type: F-43m, No. 216
Mass density in g/cm³: 13.234
E above lowest polymorph in meV per atom: 204
Total energy in eV per atom: -5.505

Cell lengths 4.295, 4.295, 4.295 Å; angles 60.00, 60.00, 60.00 degrees
Positions (direct):
Li 0.000 0.000 0.000
Ni 0.250 0.250 0.250
W 0.750 0.750 0.750
Au 0.500 0.500 0.500



Entry 4:
First-principles (PBE) data for a relaxed LiNpAu crystal, as listed in OQMD.

## Properties
Total magnetic moment in μB/cell: 5.3
Space-group type: F-43m, No. 216
Mass density in g/cm³: 11.262
Total energy in eV per atom: -5.624

Cell lengths 4.513, 4.513, 4.513 Å; angles 60.00, 60.00, 60.00 degrees
Positions (direct):
Li 0.000 0.000 0.000
Np 0.250 0.250 0.250
Au 0.750 0.750 0.750



Entry 5:
First-principles (PBE) data for a relaxed LiNpTe3Au crystal, as listed in OQMD.

## Properties
Total magnetic moment in μB/cell: 6.1
Space-group type: Cmcm, No. 63
Mass density in g/cm³: 7.766
Total energy in eV per atom: -5.175

Cell lengths 7.782, 7.782, 11.160 Å; angles 90.00, 90.00, 148.59 degrees
Positions (direct):
Li 0.162 0.838 0.750
Li 0.838 0.162 0.250
Np 0.000 0.000 0.000
Np 0.000 0.000 0.500
Te 0.091 0.909 0.250
Te 0.356 0.644 0.056
Te 0.356 0.644 0.444
Te 0.644 0.356 0.556
Te 0.644 0.356 0.944
Te 0.909 0.091 0.750
Au 0.471 0.529 0.250
Au 0.529 0.471 0.750



Entry 6:
First-principles (PBE) data for a relaxed Li8AuO6 crystal, as listed in OQMD.

## Properties
Space-group type: R-3, No. 148
Mass density in g/cm³: 4.392
Total energy in eV per atom: -4.676

Cell lengths 5.990, 5.990, 5.990 Å; angles 54.30, 54.30, 54.30 degrees
Positions (direct):
Li 0.019 0.727 0.399
Li 0.156 0.156 0.156
Li 0.273 0.601 0.981
Li 0.399 0.019 0.727
Li 0.601 0.981 0.273
Li 0.727 0.399 0.019
Li 0.844 0.844 0.844
Li 0.981 0.273 0.601
Au 0.500 0.500 0.500
O 0.106 0.404 0.743
O 0.257 0.894 0.596
O 0.404 0.743 0.106
O 0.596 0.257 0.894
O 0.743 0.106 0.404
O 0.894 0.596 0.257